{
  "formula": "Tb4TlTc",
  "functional": "GGA-PBE",
  "state": "relaxed",
  "lattice": [[6.227, -0.814, 0.000], [-2.622, 8.778, 0.000], [-1.803, -3.982, 6.486]],
  "species": ["Tl", "Tb", "Tl", "Tb", "Tc", "Tb", "Tc", "Tb", "Tb", "Tb", "Tb", "Tb"],
  "fractional_positions": [[0.626, 0.376, 0.752], [0.393, 0.939, 0.664], [0.374, 0.624, 0.248], [0.096, 0.200, 0.843], [0.250, 0.000, 0.000], [0.753, 0.357, 0.157], [0.750, 0.000, 0.000], [0.607, 0.061, 0.336], [0.904, 0.800, 0.157], [0.247, 0.643, 0.843], [0.771, 0.725, 0.664], [0.229, 0.275, 0.336]],
  "e_form_mev_per_atom": -213,
  "magmom_total_mub_per_cell": 0.00
}



{
  "formula": "Li2Y",
  "functional": "GGA-PBE",
  "state": "relaxed",
  "lattice": [[-7.962, -0.785, -0.622], [7.096, -0.685, 3.684], [-0.639, 4.797, 2.122]],
  "species": ["Li", "Y", "Li", "Li", "Li", "Y"],
  "fractional_positions": [[0.604, 0.396, 0.250], [0.927, 0.073, 0.250], [0.757, 0.243, 0.750], [0.243, 0.757, 0.250], [0.396, 0.604, 0.750], [0.073, 0.927, 0.750]],
  "e_form_mev_per_atom": 132,
  "magmom_total_mub_per_cell": 0.00
}



{
  "formula": "Te2PCl",
  "functional": "GGA-PBE",
  "state": "relaxed",
  "lattice": [[-1.116, 0.560, -3.705], [-5.615, -4.887, 0.954], [-2.336, 2.907, 1.143]],
  "species": ["Te", "Cl", "Te", "P"],
  "fractional_positions": [[0.500, 0.500, 0.000], [0.500, 0.000, 0.500], [0.000, 0.000, 0.000], [0.000, 0.500, 0.500]],
  "raw_formation_energy_ev_per_atom": 0.434,
  "magmom_total_mub_per_cell": 0.00
}



{
  "formula": "RbTlCd",
  "functional": "GGA-PBE",
  "state": "relaxed",
  "lattice": [[5.665, 0.000, 0.000], [2.832, 4.906, 0.000], [2.832, 1.635, 4.625]],
  "species": ["Tl", "Rb", "Cd"],
  "fractional_positions": [[0.500, 0.500, 0.500], [0.000, 0.000, 0.000], [0.250, 0.250, 0.250]],
  "e_form_mev_per_atom": 113,
  "magmom_total_mub_per_cell": 0.00
}



{
  "formula": "Ag2SbTeS2",
  "functional": "GGA-PBE",
  "state": "relaxed",
  "lattice": [[5.292, 0.000, 0.000], [0.000, 7.344, 0.190], [0.000, -2.569, 8.599]],
  "species": ["Ag", "Te", "Ag", "Sb", "Te", "Sb", "Ag", "S", "S", "S", "Ag", "S"],
  "fractional_positions": [[0.750, 0.923, 0.446], [0.750, 0.291, 0.632], [0.250, 0.469, 0.562], [0.250, 0.052, 0.874], [0.250, 0.709, 0.368], [0.750, 0.948, 0.126], [0.250, 0.077, 0.554], [0.000, 0.759, 0.887], [0.500, 0.241, 0.113], [0.000, 0.241, 0.113], [0.750, 0.531, 0.438], [0.500, 0.759, 0.887]],
  "raw_formation_energy_ev_per_atom": 0.077,
  "magmom_total_mub_per_cell": 0.00
}



{
  "formula": "Mg4AlPt5",
  "functional": "GGA-PBE",
  "state": "relaxed",
  "lattice": [[2.943, 0.000, 0.000], [0.000, 2.943, 0.000], [0.000, 0.000, 18.044]],
  "species": ["Mg", "Mg", "Pt", "Pt", "Al", "Mg", "Mg", "Pt", "Pt", "Pt"],
  "fractional_positions": [[0.000, 0.000, 0.399], [0.000, 0.000, 0.802], [0.500, 0.500, 0.298], [0.500, 0.500, 0.089], [0.000, 0.000, 0.000], [0.000, 0.000, 0.198], [0.000, 0.000, 0.601], [0.500, 0.500, 0.702], [0.500, 0.500, 0.911], [0.500, 0.500, 0.500]],
  "e_form_mev_per_atom": -920,
  "magmom_total_mub_per_cell": 0.00
}



{
  "formula": "Rb3Pa5S12",
  "functional": "GGA-PBE",
  "state": "relaxed",
  "lattice": [[15.009, 0.000, 0.000], [-5.003, 14.151, 0.000], [-5.003, -7.075, 12.255]],
  "species": ["S", "Pa", "Pa", "Pa", "Rb", "Rb", "S", "S", "Rb", "Rb", "S", "Rb", "S", "S", "Pa", "Rb", "Pa", "S", "Pa", "S", "S", "S", "S", "S", "S", "Pa", "S", "S", "S", "Pa", "S", "S", "S", "Pa", "S", "Pa", "S", "S", "S", "Rb", "S", "Pa", "S", "S", "Pa", "S", "Pa", "Rb", "S", "S", "S", "S", "S", "Rb", "Pa", "Pa", "S", "Rb", "S", "S", "Rb", "S", "S", "S", "S", "S", "S", "Pa", "Pa", "S", "S", "S", "Pa", "S", "S", "Rb", "Pa", "S", "S", "Pa"],
  "fractional_positions": [[0.593, 0.983, 0.676], [0.625, 0.750, 0.875], [0.750, 0.125, 0.875], [0.250, 0.375, 0.625], [0.250, 0.125, 0.375], [0.125, 0.875, 0.750], [0.389, 0.983, 0.807], [0.907, 0.083, 0.889], [0.875, 0.750, 0.125], [0.750, 0.875, 0.625], [0.693, 0.583, 0.176], [0.250, 0.625, 0.875], [0.583, 0.889, 0.407], [0.611, 0.017, 0.193], [0.375, 0.125, 0.750], [0.375, 0.750, 0.625], [0.875, 0.625, 0.750], [0.417, 0.111, 0.593], [0.500, 0.000, 0.000], [0.824, 0.907, 0.017], [0.693, 0.111, 0.017], [0.889, 0.583, 0.907], [0.417, 0.307, 0.324], [0.583, 0.693, 0.676], [0.307, 0.889, 0.983], [0.000, 0.500, 0.500], [0.889, 0.307, 0.483], [0.824, 0.917, 0.307], [0.324, 0.517, 0.407], [0.000, 0.000, 0.500], [0.611, 0.593, 0.917], [0.324, 0.807, 0.417], [0.407, 0.017, 0.324], [0.000, 0.500, 0.000], [0.517, 0.193, 0.111], [0.125, 0.375, 0.250], [0.093, 0.176, 0.483], [0.389, 0.407, 0.083], [0.483, 0.807, 0.889], [0.625, 0.375, 0.750], [0.176, 0.083, 0.693], [0.750, 0.625, 0.375], [0.593, 0.611, 0.417], [0.017, 0.407, 0.824], [0.375, 0.250, 0.125], [0.807, 0.324, 0.917], [0.875, 0.250, 0.625], [0.875, 0.125, 0.250], [0.017, 0.611, 0.693], [0.676, 0.193, 0.583], [0.083, 0.176, 0.193], [0.193, 0.676, 0.083], [0.983, 0.593, 0.176], [0.375, 0.625, 0.250], [0.625, 0.875, 0.250], [0.500, 0.500, 0.000], [0.193, 0.517, 0.611], [0.750, 0.375, 0.125], [0.676, 0.483, 0.593], [0.807, 0.483, 0.389], [0.125, 0.250, 0.875], [0.917, 0.093, 0.611], [0.517, 0.324, 0.907], [0.111, 0.417, 0.093], [0.083, 0.907, 0.389], [0.307, 0.417, 0.824], [0.483, 0.676, 0.093], [0.000, 0.000, 0.000], [0.500, 0.000, 0.500], [0.983, 0.389, 0.307], [0.176, 0.093, 0.983], [0.111, 0.693, 0.517], [0.250, 0.875, 0.125], [0.093, 0.917, 0.111], [0.917, 0.824, 0.807], [0.625, 0.250, 0.375], [0.500, 0.500, 0.500], [0.907, 0.824, 0.517], [0.407, 0.389, 0.583], [0.125, 0.750, 0.375]],
  "raw_formation_energy_ev_per_atom": -1.364,
  "magmom_total_mub_per_cell": 16.28
}



{
  "formula": "Mg2V2Bi",
  "functional": "GGA-PBE",
  "state": "relaxed",
  "lattice": [[6.084, 0.000, 0.017], [0.000, 4.241, 0.000], [-1.284, 0.000, 8.013]],
  "species": ["V", "Bi", "Mg", "Mg", "V", "Mg", "Mg", "Bi", "V", "V"],
  "fractional_positions": [[0.265, 0.500, 0.040], [0.038, 0.000, 0.227], [0.726, 0.500, 0.015], [0.958, 0.000, 0.827], [0.428, 0.000, 0.912], [0.831, 0.500, 0.429], [0.243, 0.500, 0.687], [0.542, 0.000, 0.567], [0.514, 0.000, 0.191], [0.345, 0.500, 0.332]],
  "e_form_mev_per_atom": 234,
  "magmom_total_mub_per_cell": 0.78
}



{
  "formula": "RbDy4Te6",
  "functional": "GGA-PBE",
  "state": "relaxed",
  "lattice": [[-2.995, -1.392, -2.968], [6.442, 1.452, -3.861], [6.947, -22.012, 3.310]],
  "species": ["Te", "Dy", "Dy", "Te", "Dy", "Te", "Dy", "Te", "Rb", "Dy", "Dy", "Rb", "Te", "Te", "Te", "Dy", "Dy", "Te", "Te", "Te", "Te", "Te"],
  "fractional_positions": [[0.958, 0.916, 0.847], [0.407, 0.814, 0.130], [0.407, 0.814, 0.370], [0.229, 0.459, 0.918], [0.865, 0.731, 0.961], [0.042, 0.084, 0.153], [0.135, 0.269, 0.039], [0.500, 0.000, 0.000], [0.339, 0.677, 0.750], [0.593, 0.186, 0.870], [0.865, 0.731, 0.539], [0.661, 0.323, 0.250], [0.771, 0.541, 0.418], [0.352, 0.704, 0.250], [0.042, 0.084, 0.347], [0.593, 0.186, 0.630], [0.135, 0.269, 0.461], [0.648, 0.296, 0.750], [0.958, 0.916, 0.653], [0.500, 0.000, 0.500], [0.229, 0.459, 0.582], [0.771, 0.541, 0.082]],
  "raw_formation_energy_ev_per_atom": -1.334,
  "magmom_total_mub_per_cell": 0.00
}



{
  "formula": "Y4BePt",
  "functional": "GGA-PBE",
  "state": "relaxed",
  "lattice": [[0.000, 4.245, 4.245], [4.245, 0.000, 4.245], [4.245, 4.245, 0.000]],
  "species": ["Y", "Be", "Pt", "Y", "Y", "Y"],
  "fractional_positions": [[0.374, 0.877, 0.374], [0.750, 0.750, 0.750], [0.000, 0.000, 0.000], [0.374, 0.374, 0.374], [0.877, 0.374, 0.374], [0.374, 0.374, 0.877]],
  "e_form_mev_per_atom": 665,
  "magmom_total_mub_per_cell": 0.00
}



{
  "formula": "Ag2HgW",
  "functional": "GGA-PBE",
  "state": "relaxed",
  "lattice": [[-3.115, 2.345, -3.288], [-0.417, -2.841, -4.215], [-0.548, -1.167, 4.934]],
  "species": ["W", "Hg", "Ag", "Ag"],
  "fractional_positions": [[0.750, 0.250, 0.500], [0.250, 0.750, 0.500], [0.500, 0.500, 0.000], [0.000, 0.000, 0.000]],
  "e_form_mev_per_atom": 879,
  "magmom_total_mub_per_cell": 1.40
}



{
  "formula": "Nd4Al3Cd",
  "functional": "GGA-PBE",
  "state": "relaxed",
  "lattice": [[-3.232, -1.859, -0.669], [2.413, -3.490, -1.961], [0.911, -5.525, 10.956]],
  "species": ["Nd", "Nd", "Al", "Nd", "Al", "Nd", "Al", "Cd"],
  "fractional_positions": [[0.000, 0.000, 0.160], [0.000, 0.500, 0.841], [0.000, 0.000, 0.436], [0.500, 0.000, 0.653], [0.000, 0.500, 0.565], [0.500, 0.500, 0.349], [0.500, 0.000, 0.931], [0.500, 0.500, 0.064]],
  "e_form_mev_per_atom": -308,
  "magmom_total_mub_per_cell": 0.00
}



{
  "formula": "Fe6IrRh12",
  "functional": "GGA-PBE",
  "state": "relaxed",
  "lattice": [[-2.003, -5.303, 3.034], [3.602, -3.729, -3.803], [4.933, 0.297, 4.113]],
  "species": ["Rh", "Rh", "Rh", "Rh", "Ir", "Rh", "Rh", "Rh", "Rh", "Rh", "Rh", "Fe", "Rh", "Rh", "Fe", "Fe", "Fe", "Fe", "Fe"],
  "fractional_positions": [[0.472, 0.560, 0.201], [0.528, 0.440, 0.799], [0.372, 0.022, 0.162], [0.838, 0.628, 0.978], [0.000, 0.000, 0.000], [0.201, 0.472, 0.560], [0.978, 0.838, 0.628], [0.799, 0.528, 0.440], [0.440, 0.799, 0.528], [0.628, 0.978, 0.838], [0.022, 0.162, 0.372], [0.114, 0.726, 0.268], [0.560, 0.201, 0.472], [0.162, 0.372, 0.022], [0.886, 0.274, 0.732], [0.726, 0.268, 0.114], [0.274, 0.732, 0.886], [0.268, 0.114, 0.726], [0.732, 0.886, 0.274]],
  "e_form_mev_per_atom": 94,
  "magmom_total_mub_per_cell": 19.16
}



{
  "formula": "CaAl4Se",
  "functional": "GGA-PBE",
  "state": "relaxed",
  "lattice": [[5.508, -0.120, 0.991], [1.942, -2.260, 4.739], [2.765, -4.865, -0.147]],
  "species": ["Al", "Al", "Ca", "Se", "Al", "Al"],
  "fractional_positions": [[0.376, 0.871, 0.376], [0.376, 0.376, 0.871], [0.750, 0.750, 0.750], [0.000, 0.000, 0.000], [0.376, 0.376, 0.376], [0.871, 0.376, 0.376]],
  "raw_formation_energy_ev_per_atom": -0.084,
  "magmom_total_mub_per_cell": 0.00
}



{
  "formula": "BeZnTe2S",
  "functional": "GGA-PBE",
  "state": "relaxed",
  "lattice": [[-0.157, 3.664, -0.913], [-5.138, -0.832, -2.330], [-1.239, 1.377, 5.850]],
  "species": ["Te", "Zn", "S", "Be", "Te"],
  "fractional_positions": [[0.263, 0.497, 0.348], [0.764, 0.867, 0.390], [0.760, 0.935, 0.027], [0.261, 0.117, 0.046], [0.267, 0.169, 0.633]],
  "raw_formation_energy_ev_per_atom": -0.243,
  "magmom_total_mub_per_cell": 0.00
}



{
  "formula": "SrCrNi",
  "functional": "GGA-PBE",
  "state": "relaxed",
  "lattice": [[-1.438, -0.018, -6.142], [0.073, -3.886, 0.832], [-5.583, -2.098, -0.140]],
  "species": ["Sr", "Ni", "Ni", "Cr", "Sr", "Cr"],
  "fractional_positions": [[0.393, 0.498, 0.568], [0.419, 0.208, 0.144], [0.770, 0.281, 0.247], [0.018, 0.862, 0.283], [0.796, 0.991, 0.824], [0.170, 0.626, 0.109]],
  "e_form_mev_per_atom": 389,
  "magmom_total_mub_per_cell": 0.00
}



{
  "formula": "HfIn2Pd",
  "functional": "GGA-PBE",
  "state": "relaxed",
  "lattice": [[3.153, 0.000, 0.000], [1.576, 2.730, 0.000], [1.576, 0.910, 10.299]],
  "species": ["Pd", "Hf", "In", "In"],
  "fractional_positions": [[0.500, 0.500, 0.500], [0.000, 0.000, 0.000], [0.904, 0.904, 0.289], [0.096, 0.096, 0.711]],
  "e_form_mev_per_atom": 70,
  "magmom_total_mub_per_cell": 0.00
}



{
  "formula": "NaHgAs2Br",
  "functional": "GGA-PBE",
  "state": "relaxed",
  "lattice": [[-2.062, -4.677, 0.896], [3.488, -0.819, 3.753], [-4.030, 2.604, 4.313]],
  "species": ["Hg", "As", "As", "Na", "Br"],
  "fractional_positions": [[0.000, 0.000, 0.000], [0.500, 0.000, 0.000], [0.000, 0.500, 0.000], [0.500, 0.500, 0.500], [0.000, 0.000, 0.500]],
  "raw_formation_energy_ev_per_atom": 0.274,
  "magmom_total_mub_per_cell": 1.79
}



{
  "formula": "PbBrF",
  "functional": "GGA-PBE",
  "state": "relaxed",
  "lattice": [[4.844, 0.000, 0.000], [2.422, 4.195, 0.000], [2.422, 1.398, 3.955]],
  "species": ["Pb", "F", "Br"],
  "fractional_positions": [[0.250, 0.250, 0.250], [0.500, 0.500, 0.500], [0.000, 0.000, 0.000]],
  "raw_formation_energy_ev_per_atom": -1.421,
  "magmom_total_mub_per_cell": 0.00
}



{
  "formula": "ZrNp2ScS4",
  "functional": "GGA-PBE",
  "state": "relaxed",
  "lattice": [[3.816, 0.000, 0.000], [0.000, 6.678, 0.137], [0.000, -2.310, 6.014]],
  "species": ["Zr", "S", "Sc", "Np", "Np", "S", "S", "S"],
  "fractional_positions": [[0.500, 0.500, 0.000], [0.500, 0.244, 0.235], [0.000, 0.000, 0.000], [0.000, 0.500, 0.500], [0.500, 0.000, 0.500], [0.500, 0.756, 0.765], [0.000, 0.750, 0.238], [0.000, 0.250, 0.762]],
  "raw_formation_energy_ev_per_atom": -1.513,
  "magmom_total_mub_per_cell": 0.15
}